(1)
DFT (PBE) results for an optimized crystal structure of RuSI2O.

Calculated values
The distance to the lowest polymorph of the same formula is 553 meV/atom. The raw formation energy is 0.79 eV per atom.

a b c (Å): 5.588 5.588 3.545
angles (deg): 90.00 90.00 90.00
Each line ends with the local moment (μB).
Element x y z (fractional)
Ru 0.500 0.500 0.500  2.51
O 0.000 0.000 0.500  -0.03
S 0.000 0.000 0.000  -0.03
I 0.000 0.500 0.000  0.13
I 0.500 0.000 0.000  0.13



(2)
DFT (PBE) results for an optimized crystal structure of MgCr2Pt.

Calculated values
For the formation energy, the calculation gives 0.620 eV/atom.

a b c (Å): 7.171 7.171 5.642
angles (deg): 50.54 50.54 90.00
Element x y z (fractional)
Cr 0.659 0.125 0.250
Cr 0.091 0.625 0.250
Cr 0.375 0.341 0.750
Mg 0.500 0.500 0.000
Cr 0.875 0.909 0.750
Pt 0.750 0.250 0.500
Mg 0.250 0.750 0.500
Pt 0.000 0.000 0.000



(3)
DFT (PBE) results for an optimized crystal structure of KNaSr2.

Calculated values
For the formation energy, the calculation gives 0.108 eV/atom.

a b c (Å): 6.335 5.835 5.835
angles (deg): 90.00 90.00 90.00
Element x y z (fractional)
Sr 0.000 0.500 0.000
K 0.500 0.500 0.500
Na 0.500 0.000 0.000
Sr 0.000 0.000 0.500



(4)
DFT (PBE) results for an optimized crystal structure of La3MgTl.

Calculated values
The distance to the lowest polymorph of the same formula is 0 meV/atom. For the formation energy, the calculation gives -0.202 eV/atom.

a b c (Å): 5.621 5.612 10.676
angles (deg): 90.00 74.74 90.00
Each line ends with the local moment (μB).
Element x y z (fractional)
La 0.265 0.750 0.119  0.14
La 0.074 0.750 0.501  0.03
Mg 0.476 0.750 0.696  0.00
Mg 0.172 0.250 0.304  0.00
La 0.765 0.250 0.119  0.13
La 0.883 0.750 0.881  0.13
La 0.384 0.250 0.881  0.14
Tl 0.978 0.250 0.693  0.00
La 0.575 0.250 0.499  0.03
Tl 0.671 0.750 0.307  0.00



(5)
DFT (PBE) results for an optimized crystal structure of BeCoH4.

Calculated values
The distance to the lowest polymorph of the same formula is 0 meV/atom.

a b c (Å): 4.568 4.568 4.568
angles (deg): 104.06 104.06 120.95
Each line ends with the local moment (μB).
Element x y z (fractional)
Co 0.245 0.245 0.000  0.54
H 0.194 0.996 0.198  0.01
H 0.254 0.552 0.298  -0.01
H 0.799 0.996 0.802  0.01
H 0.302 0.504 0.798  -0.01
H 0.707 0.504 0.202  -0.01
H 0.746 0.049 0.302  0.01
Be 0.504 0.004 0.500  0.01
Co 0.995 0.495 0.500  0.54
Be 0.754 0.754 0.000  0.01
H 0.254 0.957 0.702  -0.01
H 0.746 0.444 0.698  0.01



(6)
DFT (PBE) results for an optimized crystal structure of La2NdDy2Mg5.

Calculated values
For the formation energy, the calculation gives 0.001 eV/atom.

a b c (Å): 5.168 10.704 10.704
angles (deg): 90.00 90.00 90.00
Element x y z (fractional)
Mg 0.500 0.574 0.700
Nd 0.000 0.000 0.000
Mg 0.500 0.200 0.074
Mg 0.500 0.800 0.926
La 0.000 0.324 0.824
Dy 0.000 0.380 0.120
Dy 0.000 0.120 0.620
La 0.000 0.176 0.324
Mg 0.500 0.074 0.800
La 0.000 0.824 0.676
Mg 0.500 0.500 0.000
Mg 0.500 0.926 0.200
Dy 0.000 0.620 0.880
La 0.000 0.676 0.176
Mg 0.500 0.300 0.574
Mg 0.500 0.700 0.426
Mg 0.500 0.426 0.300
Nd 0.000 0.500 0.500
Dy 0.000 0.880 0.380
Mg 0.500 0.000 0.500



(7)
DFT (PBE) results for an optimized crystal structure of RbSm2Er.

Calculated values
For the formation energy, the calculation gives 0.264 eV/atom.

a b c (Å): 3.654 3.654 13.549
angles (deg): 82.25 82.25 60.00
Element x y z (fractional)
Sm 0.097 0.097 0.710
Er 0.500 0.500 0.500
Sm 0.903 0.903 0.290
Rb 0.000 0.000 0.000



(8)
DFT (PBE) results for an optimized crystal structure of KTaPt.

Calculated values
The distance to the lowest polymorph of the same formula is 188 meV/atom. For the formation energy, the calculation gives 0.419 eV/atom.

a b c (Å): 2.980 2.980 8.315
angles (deg): 90.00 90.00 120.00
Element x y z (fractional)
Ta 0.333 0.667 0.620
Pt 0.667 0.333 0.363
K 0.000 0.000 0.017



(9)
DFT (PBE) results for an optimized crystal structure of Nb2BrF.

Calculated values
The distance to the lowest polymorph of the same formula is 386 meV/atom. The raw formation energy is 0.13 eV per atom.

a b c (Å): 4.456 4.456 4.456
angles (deg): 60.00 60.00 60.00
Each line ends with the local moment (μB).
Element x y z (fractional)
Nb 0.750 0.750 0.750  0.56
Br 0.500 0.500 0.500  0.03
F 0.000 0.000 0.000  0.02
Nb 0.250 0.250 0.250  0.56



(10)
DFT (PBE) results for an optimized crystal structure of Mg2Al2Ir.

Calculated values
The distance to the lowest polymorph of the same formula is 0 meV/atom. For the formation energy, the calculation gives -0.205 eV/atom.

a b c (Å): 6.429 6.429 4.423
angles (deg): 90.00 90.00 90.00
Element x y z (fractional)
Al 0.857 0.643 0.000
Mg 0.827 0.327 0.500
Ir 0.000 0.000 0.000
Mg 0.673 0.827 0.500
Al 0.643 0.143 0.000
Mg 0.173 0.673 0.500
Ir 0.500 0.500 0.000
Mg 0.327 0.173 0.500
Al 0.143 0.357 0.000
Al 0.357 0.857 0.000



(11)
DFT (PBE) results for an optimized crystal structure of LiTcRh2O6.

Calculated values
The raw formation energy is -0.60 eV per atom.

a b c (Å): 4.876 5.310 5.310
angles (deg): 90.00 90.00 90.00
Each line ends with the local moment (μB).
Element x y z (fractional)
O 0.164 0.500 0.500  0.66
Li 0.565 0.500 0.500  0.00
Tc 0.597 0.000 0.000  -0.01
O 0.756 0.763 0.237  0.01
Rh 0.924 0.500 0.000  0.32
O 0.756 0.237 0.237  0.01
O 0.756 0.763 0.763  0.01
O 0.248 0.000 0.000  0.01
O 0.756 0.237 0.763  0.01
Rh 0.924 0.000 0.500  0.32



(12)
DFT (PBE) results for an optimized crystal structure of GaSn2Pd7.

Calculated values
For the formation energy, the calculation gives -0.095 eV/atom.

a b c (Å): 4.154 7.696 7.696
angles (deg): 122.45 90.00 90.00
Element x y z (fractional)
Ga 0.000 0.000 0.000
Pd 0.500 0.918 0.716
Pd 0.500 0.082 0.284
Pd 0.500 0.500 0.500
Pd 0.500 0.716 0.918
Pd 0.000 0.811 0.189
Pd 0.500 0.284 0.082
Sn 0.500 0.696 0.304
Sn 0.500 0.304 0.696
Pd 0.000 0.189 0.811



(13)
DFT (PBE) results for an optimized crystal structure of LiHo6Mg.

Calculated values
For the formation energy, the calculation gives 0.145 eV/atom.

a b c (Å): 8.459 8.972 6.164
angles (deg): 43.20 46.60 57.72
Element x y z (fractional)
Ho 0.029 0.463 0.262
Ho 0.537 0.247 0.245
Ho 0.463 0.753 0.755
Ho 0.971 0.537 0.738
Ho 0.247 0.028 0.187
Li 0.000 0.000 0.000
Ho 0.753 0.972 0.813
Mg 0.500 0.500 0.500



(14)
DFT (PBE) results for an optimized crystal structure of Tb4YAl2.

Calculated values
The distance to the lowest polymorph of the same formula is 305 meV/atom. For the formation energy, the calculation gives 0.098 eV/atom.

a b c (Å): 5.056 5.056 10.468
angles (deg): 76.02 76.02 60.00
Element x y z (fractional)
Y 0.500 0.500 0.500
Al 0.400 0.400 0.799
Tb 0.702 0.702 0.894
Tb 0.101 0.101 0.697
Tb 0.298 0.298 0.106
Tb 0.899 0.899 0.303
Al 0.600 0.600 0.201



(15)
DFT (PBE) results for an optimized crystal structure of YBe2Pt2.

Calculated values
The distance to the lowest polymorph of the same formula is 238 meV/atom. For the formation energy, the calculation gives -0.683 eV/atom.

a b c (Å): 7.189 7.189 2.820
angles (deg): 90.00 90.00 90.00
Each line ends with the local moment (μB).
Element x y z (fractional)
Y 0.000 0.000 0.000  0.15
Pt 0.173 0.673 0.500  0.00
Be 0.112 0.388 0.000  0.00
Pt 0.827 0.327 0.500  0.00
Pt 0.327 0.173 0.500  0.00
Pt 0.673 0.827 0.500  0.00
Be 0.888 0.612 0.000  0.00
Be 0.388 0.888 0.000  0.00
Y 0.500 0.500 0.000  0.15
Be 0.612 0.112 0.000  0.00



(16)
DFT (PBE) results for an optimized crystal structure of LiAg8S6.

Calculated values
The raw formation energy is 0.00 eV per atom.

a b c (Å): 6.872 6.872 6.872
angles (deg): 94.63 94.63 94.63
Element x y z (fractional)
Ag 0.350 0.350 0.350
Ag 0.809 0.087 0.556
Ag 0.650 0.650 0.650
S 0.803 0.766 0.356
S 0.766 0.356 0.803
Ag 0.444 0.191 0.913
S 0.356 0.803 0.766
Ag 0.191 0.913 0.444
Ag 0.913 0.444 0.191
S 0.644 0.197 0.234
S 0.234 0.644 0.197
Ag 0.087 0.556 0.809
S 0.197 0.234 0.644
Li 0.000 0.000 0.000
Ag 0.556 0.809 0.087



(17)
DFT (PBE) results for an optimized crystal structure of Nd4RuI2Cl.

Calculated values
The raw formation energy is -0.90 eV per atom.

a b c (Å): 4.149 7.593 8.319
angles (deg): 106.99 90.00 90.00
Element x y z (fractional)
Cl 0.000 0.000 0.000
I 0.000 0.500 0.500
I 0.500 0.000 0.500
Nd 0.500 0.748 0.810
Ru 0.500 0.500 0.000
Nd 0.500 0.252 0.190
Nd 0.000 0.701 0.191
Nd 0.000 0.299 0.809



(18)
DFT (PBE) results for an optimized crystal structure of TlZnCdPt2.

Calculated values
For the formation energy, the calculation gives 0.716 eV/atom.

a b c (Å): 5.103 4.871 5.103
angles (deg): 90.00 90.00 90.00
Element x y z (fractional)
Pt 0.000 0.000 0.500
Pt 0.500 0.000 0.000
Tl 0.500 0.500 0.500
Cd 0.000 0.000 0.000
Zn 0.000 0.500 0.000



(19)
DFT (PBE) results for an optimized crystal structure of BaCoNi.

Calculated values
The distance to the lowest polymorph of the same formula is 191 meV/atom. For the formation energy, the calculation gives 0.477 eV/atom.

a b c (Å): 5.966 5.965 3.389
angles (deg): 73.50 73.49 33.01
Each line ends with the local moment (μB).
Element x y z (fractional)
Ba 0.001 0.001 0.999  -0.07
Ni 0.727 0.727 0.273  0.65
Co 0.271 0.271 0.729  1.70



(20)
DFT (PBE) results for an optimized crystal structure of SbWAu2.

Calculated values
The raw formation energy is 0.45 eV per atom.

a b c (Å): 7.094 7.094 7.094
angles (deg): 156.94 141.18 45.63
Element x y z (fractional)
Au 0.059 0.059 0.000
Au 0.773 0.273 0.500
Sb 0.431 0.431 0.000
W 0.237 0.737 0.500



(21)
DFT (PBE) results for an optimized crystal structure of Tb3Sm8Y2.

Calculated values
For the formation energy, the calculation gives 0.215 eV/atom.

a b c (Å): 5.708 7.701 10.899
angles (deg): 110.75 90.01 90.00
Element x y z (fractional)
Tb 0.000 0.714 0.000
Sm 0.000 0.132 0.264
Y 0.500 0.241 0.482
Sm 0.000 0.670 0.339
Y 0.500 0.759 0.518
Sm 0.500 0.601 0.788
Sm 0.500 0.186 0.788
Tb 0.500 0.000 0.000
Sm 0.000 0.330 0.661
Sm 0.500 0.399 0.212
Sm 0.000 0.868 0.736
Sm 0.500 0.814 0.212
Tb 0.000 0.286 0.000



(22)
DFT (PBE) results for an optimized crystal structure of Sm2Y2ErSc.

Calculated values
For the formation energy, the calculation gives 0.063 eV/atom.

a b c (Å): 5.554 7.001 9.613
angles (deg): 90.00 90.00 90.00
Element x y z (fractional)
Er 0.000 0.008 0.500
Sc 0.500 0.758 0.321
Y 0.000 0.758 0.843
Er 0.000 0.508 0.500
Y 0.500 0.508 0.000
Y 0.000 0.258 0.157
Sm 0.500 0.758 0.648
Sc 0.500 0.258 0.679
Sm 0.000 0.258 0.815
Sm 0.500 0.258 0.352
Y 0.500 0.008 0.000
Sm 0.000 0.758 0.185



(23)
DFT (PBE) results for an optimized crystal structure of FeBrCl2.

Calculated values
The distance to the lowest polymorph of the same formula is 112 meV/atom. The raw formation energy is -0.52 eV per atom.

a b c (Å): 3.400 6.826 6.817
angles (deg): 45.95 90.00 90.00
Each line ends with the local moment (μB).
Element x y z (fractional)
Fe 0.500 0.250 0.250  3.79
Br 0.500 0.750 0.750  0.22
Cl 0.000 0.118 0.117  0.24
Cl 0.000 0.382 0.383  0.24



(24)
DFT (PBE) results for an optimized crystal structure of SmTiPd.

Calculated values
For the formation energy, the calculation gives -0.274 eV/atom.

a b c (Å): 4.796 3.392 10.990
angles (deg): 90.00 90.00 135.00
Each line ends with the local moment (μB).
Element x y z (fractional)
Sm 0.694 0.389 0.672  0.04
Pd 0.195 0.389 0.500  0.02
Pd 0.694 0.389 0.000  0.02
Sm 0.694 0.389 0.328  0.04
Ti 0.194 0.389 0.873  0.30
Ti 0.194 0.389 0.127  0.30



no.,final energy (eV/cell)
1,-17.5
2,-48.8
3,-5.3
4,-39.5
5,-47.5
6,-63.6
7,-13.9
8,-17.7
9,-23.2
10,-41.1
11,-62.7
12,-48.3
13,-29.8
14,-31.8
15,-58.8
16,-49.5
17,-40.5
18,-13.1
19,-13.4
20,-21.8
21,-61.8
22,-65.8
23,-15.9
24,-37.3